Below is an optimized crystal structure of YSc2IrO8, with properties calculated at the PBE level.

Cell: 4.8707 4.8635 6.5308 Å, 90.00 90.00 89.93°
Last column: magnetic moment on the atom in μB.
Element x y z (fractional)
Y (0.0000, 0.0000, 0.5000)  0.01
Sc (0.5000, 0.5000, 0.7420)  0.01
Sc (0.5000, 0.5000, 0.2580)  0.01
Ir (0.0000, 0.0000, 0.0000)  0.64
O (0.1943, 0.8041, 0.2126)  0.10
O (0.7211, 0.7223, 0.0000)  0.02
O (0.8057, 0.1959, 0.2126)  0.10
O (0.8057, 0.1959, 0.7874)  0.10
O (0.2789, 0.2777, 0.0000)  0.02
O (0.1943, 0.8041, 0.7874)  0.10
O (0.6827, 0.6843, 0.5000)  0.02
O (0.3173, 0.3157, 0.5000)  0.02

Space-group type: P2/m (10)
V (Å³ per cell): 154.7
DOS(E_F) (states/eV/f.u.): 5.3

Below is an optimized crystal structure of IrSe2O6, with properties calculated at the PBE level.

Cell: 4.8651 4.8651 7.2445 Å, 70.38 70.38 60.00°
Last column: magnetic moment on the atom in μB.
Element x y z (fractional)
Ir (0.6668, 0.6668, 0.9995)  0.61
Se (0.2383, 0.2383, 0.2850)  0.00
Se (0.4286, 0.4286, 0.7143)  0.00
O (0.6008, 0.2804, 0.1843)  0.06
O (0.2804, 0.9345, 0.1843)  0.06
O (0.9345, 0.6008, 0.1843)  0.06
O (0.4028, 0.7241, 0.8151)  0.06
O (0.7241, 0.0580, 0.8151)  0.06
O (0.0580, 0.4028, 0.8151)  0.06

Space-group type: R3 (146)
V (Å³ per cell): 136.9
DOS(E_F) (states/eV/f.u.): 4.1

Below is an optimized crystal structure of IrSe2O, with properties calculated at the PBE level.

Cell: 8.4763 8.4763 8.4763 Å, 19.66 19.66 19.66°
Element x y z (fractional)
Ir (0.5000, 0.5000, 0.5000)
O (0.0000, 0.0000, 0.0000)
Se (0.5975, 0.5975, 0.5975)
Se (0.4025, 0.4025, 0.4025)

Space-group type: R-3m (166)
V (Å³ per cell): 60.3
DOS(E_F) (states/eV/f.u.): 3.4

no.,formation energy without anion corrections (kcal/mol of atoms)
1,-53.8
2,-13.4
3,12.4